CrGaCuIr: relaxed, GGA-PBE.

## Properties
For the formation energy, the calculation gives -0.07 eV per atom. Its symmetry is F-43m, No. 216. As for the crystal system: cubic.

a = 4.265 Å, b = 4.265 Å, c = 4.265 Å
α = 60.00°, β = 60.00°, γ = 60.00°
Element x y z (fractional)
Cr (0.000, 0.000, 0.000)
Ga (0.250, 0.250, 0.250)
Cu (0.750, 0.750, 0.750)
Ir (0.500, 0.500, 0.500)

---

CeSc2Ga2: relaxed, GGA-PBE.

## Properties
For the energy above the most stable polymorph in this dataset, the calculation gives 71 meV/atom. For the formation energy, the calculation gives -0.36 eV per atom. Its symmetry is P2_1/m, No. 11. As for the crystal system: monoclinic.

a = 5.141 Å, b = 3.910 Å, c = 11.855 Å
α = 90.00°, β = 96.42°, γ = 90.00°
Element x y z (fractional)
Ce (0.183, 0.250, 0.239)
Ce (0.817, 0.750, 0.761)
Sc (0.244, 0.750, 0.478)
Sc (0.345, 0.250, 0.892)
Sc (0.655, 0.750, 0.108)
Sc (0.756, 0.250, 0.522)
Ga (0.147, 0.750, 0.030)
Ga (0.289, 0.250, 0.656)
Ga (0.711, 0.750, 0.344)
Ga (0.853, 0.250, 0.970)

---

Sm2ErZn3: relaxed, GGA-PBE.

## Properties
For the formation energy, the calculation gives -0.32 eV per atom. Its symmetry is P-3m1, No. 164. As for the crystal system: trigonal.

a = 5.099 Å, b = 5.099 Å, c = 6.247 Å
α = 90.00°, β = 90.00°, γ = 120.00°
Element x y z (fractional)
Sm (0.333, 0.667, 0.174)
Sm (0.667, 0.333, 0.826)
Er (0.000, 0.000, 0.500)
Zn (0.000, 0.000, 0.000)
Zn (0.333, 0.667, 0.666)
Zn (0.667, 0.333, 0.334)

---

RbNb2HgBi: relaxed, GGA-PBE.

## Properties
For the formation energy, the calculation gives 1.46 eV per atom. Its symmetry is P4/mmm, No. 123. As for the crystal system: tetragonal.

a = 5.466 Å, b = 5.466 Å, c = 5.862 Å
α = 90.00°, β = 90.00°, γ = 90.00°
Element x y z (fractional)
Rb (0.000, 0.000, 0.000)
Nb (0.000, 0.500, 0.500)
Nb (0.500, 0.000, 0.500)
Hg (0.500, 0.500, 0.500)
Bi (0.500, 0.500, 0.000)

---

SrCdBr2: relaxed, GGA-PBE.

## Properties
For the energy above the most stable polymorph in this dataset, the calculation gives 240 meV/atom. Its symmetry is R3m, No. 160. Its raw formation energy is -4.71 eV per formula unit. As for the crystal system: trigonal.

a = 8.981 Å, b = 8.981 Å, c = 8.981 Å
α = 29.33°, β = 29.33°, γ = 29.33°
Element x y z (fractional)
Sr (0.000, 0.000, 0.000)
Cd (0.245, 0.245, 0.245)
Br (0.524, 0.524, 0.524)
Br (0.725, 0.725, 0.725)

---

LaGdMnAg: relaxed, GGA-PBE.

## Properties
For the formation energy, the calculation gives 0.02 eV per atom. Its symmetry is F-43m, No. 216. As for the crystal system: cubic.

a = 5.228 Å, b = 5.228 Å, c = 5.228 Å
α = 60.00°, β = 60.00°, γ = 60.00°
Element x y z (fractional)
La (0.000, 0.000, 0.000)
Gd (0.500, 0.500, 0.500)
Mn (0.250, 0.250, 0.250)
Ag (0.750, 0.750, 0.750)

---

| no. | E (eV per atom) |
| --- | --- |
| 1 | -6.473 |
| 2 | -5.287 |
| 3 | -3.295 |
| 4 | -3.602 |
| 5 | -2.662 |
| 6 | -7.741 |